Density functional theory data (PBE) for a geometry-optimized Sm2ZnFe structure.

Computed properties:
The calculation puts the volume at 90 Å³/f.u. For the polymorph energy (0 for the lowest one), the calculation gives 0 meV/atom. The calculation puts the density of states at the Fermi level at 1.551 states/eV per atom. The formation energy comes out at -0.031 eV per atom.

The structure in CIF format:
```
data_Sm2ZnFe
_chemical_formula_sum 'Sm2 Zn1 Fe1'
_symmetry_space_group_name_H-M 'P 4/m m m'
_symmetry_Int_Tables_number 123
_symmetry_space_group_name_Hall '-P 4 2'
_cell_length_a 3.5400
_cell_length_b 3.5400
_cell_length_c 7.2149
_cell_angle_alpha 90.00
_cell_angle_beta 90.00
_cell_angle_gamma 90.00
loop_
_atom_site_label
_atom_site_type_symbol
_atom_site_fract_x
_atom_site_fract_y
_atom_site_fract_z
Sm1 Sm 0.0000 0.0000 0.2326
Zn1 Zn 0.5000 0.5000 0.5000
Fe1 Fe 0.5000 0.5000 0.0000
```